# 1
# PuUNb, optimized geometry, DFT PBE
# energy above the lowest structure with this stoichiometry = 0 meV/atom
# volume = 61 Å³/cell
# energy = -11.061 eV per atom
# calculated formation energy = 778 meV/atom
data_PuUNb
_chemical_formula_sum 'Pu1 U1 Nb1'
_cell_length_a 4.4191
_cell_length_b 4.4191
_cell_length_c 4.4191
_cell_angle_alpha 60.00
_cell_angle_beta 60.00
_cell_angle_gamma 60.00
_symmetry_space_group_name_H-M 'P 1'
_symmetry_Int_Tables_number 1
loop_
_symmetry_equiv_pos_as_xyz
'x,y,z'
loop_
_atom_site_label
_atom_site_fract_x
_atom_site_fract_y
_atom_site_fract_z
_atom_site_occupancy
Pu1 0.0000 0.0000 0.0000 1
U1 0.7500 0.7500 0.7500 1
Nb1 0.5000 0.5000 0.5000 1

# 2
# KNbSn, optimized geometry, DFT PBE
# energy above the lowest structure with this stoichiometry = 710 meV/atom
# volume = 96 Å³/cell
# energy = -3.352 eV per atom
data_KNbSn
_chemical_formula_sum 'K1 Nb1 Sn1'
_cell_length_a 5.1443
_cell_length_b 5.1443
_cell_length_c 5.1443
_cell_angle_alpha 60.00
_cell_angle_beta 60.00
_cell_angle_gamma 60.00
_symmetry_space_group_name_H-M 'P 1'
_symmetry_Int_Tables_number 1
loop_
_symmetry_equiv_pos_as_xyz
'x,y,z'
loop_
_atom_site_label
_atom_site_fract_x
_atom_site_fract_y
_atom_site_fract_z
_atom_site_occupancy
K1 0.0000 0.0000 0.0000 1
Nb1 0.7500 0.7500 0.7500 1
Sn1 0.2500 0.2500 0.2500 1

# 3
# SmAl2Pt2, optimized geometry, DFT PBE
# volume = 95 Å³/cell
# energy = -5.865 eV per atom
data_SmAl2Pt2
_chemical_formula_sum 'Sm1 Al2 Pt2'
_cell_length_a 6.0946
_cell_length_b 6.0946
_cell_length_c 6.0946
_cell_angle_alpha 139.46
_cell_angle_beta 139.46
_cell_angle_gamma 58.68
_symmetry_space_group_name_H-M 'P 1'
_symmetry_Int_Tables_number 1
loop_
_symmetry_equiv_pos_as_xyz
'x,y,z'
loop_
_atom_site_label
_atom_site_fract_x
_atom_site_fract_y
_atom_site_fract_z
_atom_site_occupancy
Sm1 0.0000 0.0000 0.0000 1
Al1 0.3766 0.3766 0.0000 1
Al2 0.6234 0.6234 0.0000 1
Pt1 0.2500 0.7500 0.5000 1
Pt2 0.7500 0.2500 0.5000 1

# 4
# Ho2TmGa3CuGe2, optimized geometry, DFT PBE
# volume = 175 Å³/cell
# energy = -4.604 eV per atom
data_Ho2TmGa3CuGe2
_chemical_formula_sum 'Ho2 Tm1 Ga3 Cu1 Ge2'
_cell_length_a 4.1216
_cell_length_b 7.0009
_cell_length_c 7.0009
_cell_angle_alpha 119.86
_cell_angle_beta 90.00
_cell_angle_gamma 90.00
_symmetry_space_group_name_H-M 'P 1'
_symmetry_Int_Tables_number 1
loop_
_symmetry_equiv_pos_as_xyz
'x,y,z'
loop_
_atom_site_label
_atom_site_fract_x
_atom_site_fract_y
_atom_site_fract_z
_atom_site_occupancy
Ho1 0.0000 0.2007 0.7993 1
Ho2 0.0000 0.7993 0.2007 1
Tm1 0.0000 0.6027 0.6027 1
Ga1 0.5000 0.2016 0.4367 1
Ga2 0.5000 0.4367 0.2016 1
Ga3 0.5000 0.9661 0.9661 1
Cu1 0.0000 0.2036 0.2036 1
Ge1 0.5000 0.5350 0.8662 1
Ge2 0.5000 0.8662 0.5350 1

# 5
# ZnIr9, optimized geometry, DFT PBE
# energy above the lowest structure with this stoichiometry = 23 meV/atom
# volume = 428 Å³/cell
# energy = -8.046 eV per atom
# calculated formation energy = 50 meV/atom
data_ZnIr9
_chemical_formula_sum 'Zn2 Ir18'
_cell_length_a 2.7343
_cell_length_b 3.8614
_cell_length_c 40.5404
_cell_angle_alpha 90.00
_cell_angle_beta 90.00
_cell_angle_gamma 90.00
_symmetry_space_group_name_H-M 'P 1'
_symmetry_Int_Tables_number 1
loop_
_symmetry_equiv_pos_as_xyz
'x,y,z'
loop_
_atom_site_label
_atom_site_fract_x
_atom_site_fract_y
_atom_site_fract_z
_atom_site_occupancy
Zn1 0.2500 0.2500 0.1814 1
Zn2 0.7500 0.7500 0.8186 1
Ir1 0.2500 0.2500 0.2469 1
Ir2 0.2500 0.2500 0.3146 1
Ir3 0.2500 0.2500 0.3815 1
Ir4 0.2500 0.2500 0.4493 1
Ir5 0.2500 0.2500 0.5170 1
Ir6 0.2500 0.2500 0.5845 1
Ir7 0.2500 0.2500 0.6520 1
Ir8 0.2500 0.2500 0.7198 1
Ir9 0.2500 0.2500 0.7876 1
Ir10 0.7500 0.7500 0.2124 1
Ir11 0.7500 0.7500 0.2802 1
Ir12 0.7500 0.7500 0.3480 1
Ir13 0.7500 0.7500 0.4155 1
Ir14 0.7500 0.7500 0.4830 1
Ir15 0.7500 0.7500 0.5507 1
Ir16 0.7500 0.7500 0.6185 1
Ir17 0.7500 0.7500 0.6854 1
Ir18 0.7500 0.7500 0.7531 1

# 6
# LiPrBi2, optimized geometry, DFT PBE
# volume = 221 Å³/cell
# energy = -4.399 eV per atom
data_LiPrBi2
_chemical_formula_sum 'Li2 Pr2 Bi4'
_cell_length_a 4.5611
_cell_length_b 4.5611
_cell_length_c 10.6430
_cell_angle_alpha 90.00
_cell_angle_beta 90.00
_cell_angle_gamma 90.00
_symmetry_space_group_name_H-M 'P 1'
_symmetry_Int_Tables_number 1
loop_
_symmetry_equiv_pos_as_xyz
'x,y,z'
loop_
_atom_site_label
_atom_site_fract_x
_atom_site_fract_y
_atom_site_fract_z
_atom_site_occupancy
Li1 0.2500 0.7500 0.0000 1
Li2 0.7500 0.2500 0.0000 1
Pr1 0.2500 0.2500 0.2564 1
Pr2 0.7500 0.7500 0.7436 1
Bi1 0.2500 0.2500 0.8375 1
Bi2 0.2500 0.7500 0.5000 1
Bi3 0.7500 0.2500 0.5000 1
Bi4 0.7500 0.7500 0.1625 1

# 7
# CsNd, optimized geometry, DFT PBE
# energy above the lowest structure with this stoichiometry = 0 meV/atom
# volume = 105 Å³/cell
# energy = -1.476 eV per atom
data_CsNd
_chemical_formula_sum 'Cs1 Nd1'
_cell_length_a 5.2940
_cell_length_b 5.2940
_cell_length_c 5.2940
_cell_angle_alpha 60.00
_cell_angle_beta 60.00
_cell_angle_gamma 60.00
_symmetry_space_group_name_H-M 'P 1'
_symmetry_Int_Tables_number 1
loop_
_symmetry_equiv_pos_as_xyz
'x,y,z'
loop_
_atom_site_label
_atom_site_fract_x
_atom_site_fract_y
_atom_site_fract_z
_atom_site_occupancy
Cs1 0.0000 0.0000 0.0000 1
Nd1 0.5000 0.5000 0.5000 1

# 8
# MgZrNiB, optimized geometry, DFT PBE
# energy above the lowest structure with this stoichiometry = 0 meV/atom
# volume = 56 Å³/cell
# energy = -5.622 eV per atom
data_MgZrNiB
_chemical_formula_sum 'Mg1 Zr1 Ni1 B1'
_cell_length_a 4.2998
_cell_length_b 4.2998
_cell_length_c 4.2998
_cell_angle_alpha 60.00
_cell_angle_beta 60.00
_cell_angle_gamma 60.00
_symmetry_space_group_name_H-M 'P 1'
_symmetry_Int_Tables_number 1
loop_
_symmetry_equiv_pos_as_xyz
'x,y,z'
loop_
_atom_site_label
_atom_site_fract_x
_atom_site_fract_y
_atom_site_fract_z
_atom_site_occupancy
Mg1 0.0000 0.0000 0.0000 1
Zr1 0.5000 0.5000 0.5000 1
Ni1 0.7500 0.7500 0.7500 1
B1 0.2500 0.2500 0.2500 1